(1)
{
  "formula": "RbHPbF6",
  "functional": "PBE-GGA",
  "state": "relaxed",
  "n_ef_per_ev_atom": 0.000,
  "energy_ry_per_atom": -0.3113,
  "total_magnetization_mub_per_cell": 0.1,
  "cell": [[-4.511, 1.665, 3.413], [-2.956, -2.435, 4.446], [4.291, 2.428, 3.852]],
  "species": ["Rb", "H", "Pb", "F", "F", "F", "F", "F", "F"],
  "fractional_positions": [[0.097, 0.944, 0.021], [0.744, 0.655, 0.350], [0.392, 0.286, 0.539], [0.991, 0.450, 0.294], [0.263, 0.204, 0.798], [0.565, 0.429, 0.743], [0.940, 0.817, 0.591], [0.528, 0.339, 0.266], [0.479, 0.876, 0.398]]
}

***

(2)
{
  "formula": "Mg2NbAgGe",
  "functional": "PBE-GGA",
  "state": "relaxed",
  "n_ef_per_ev_atom": 0.730,
  "energy_ry_per_atom": -0.2661,
  "total_magnetization_mub_per_cell": 0.0,
  "cell": [[-2.603, -3.483, -2.133], [3.294, -0.210, -3.678], [2.502, -3.360, 2.432]],
  "species": ["Mg", "Mg", "Nb", "Ge", "Ag"],
  "fractional_positions": [[0.000, 0.000, 0.500], [0.500, 0.000, 0.000], [0.000, 0.500, 0.000], [0.000, 0.000, 0.000], [0.500, 0.500, 0.500]]
}

***

(3)
{
  "formula": "La6GaAu",
  "functional": "PBE-GGA",
  "state": "relaxed",
  "n_ef_per_ev_atom": 1.718,
  "de_polymorph_mev_per_atom": 208,
  "energy_ry_per_atom": -0.3380,
  "total_magnetization_mub_per_cell": 0.0,
  "cell": [[6.961, 0.017, -0.010], [3.481, 6.072, 0.016], [3.457, 2.033, 7.079]],
  "species": ["La", "La", "La", "La", "La", "La", "Ga", "Au"],
  "fractional_positions": [[0.055, 0.439, 0.730], [0.774, 0.052, 0.731], [0.562, 0.224, 0.270], [0.226, 0.948, 0.269], [0.945, 0.561, 0.270], [0.438, 0.776, 0.730], [0.500, 0.500, 0.500], [0.000, 0.000, 0.000]]
}